Here is a geometry-optimized ZnIn2Hg structure from the Alexandria database. Energies are from PBEsol.

Geometry as CIF:
```
data_ZnIn2Hg
_chemical_formula_sum 'Zn2 In4 Hg2'
_cell_length_a 3.285
_cell_length_b 5.297
_cell_length_c 10.219
_cell_angle_alpha 90.00
_cell_angle_beta 90.00
_cell_angle_gamma 90.00
_symmetry_space_group_name_H-M 'I m m 2'
_symmetry_Int_Tables_number 44
loop_
_symmetry_equiv_pos_as_xyz
'x,y,z'
'-x,-y,z'
'-x,y,z'
'x,-y,z'
'x+1/2,y+1/2,z+1/2'
'-x+1/2,-y+1/2,z+1/2'
'-x+1/2,y+1/2,z+1/2'
'x+1/2,-y+1/2,z+1/2'
loop_
_atom_site_label
_atom_site_type_symbol
_atom_site_fract_x
_atom_site_fract_y
_atom_site_fract_z
Zn1 Zn 0.000 0.000 0.000
In1 In 0.000 0.000 0.509
In2 In 0.000 0.500 0.730
Hg1 Hg 0.000 0.500 0.280
```

Magnetic moment in μB/cell: 0.00
Polymorph energy (0 for the lowest one) in meV/atom: 23
Calculated formation energy in eV/atom: 0.0675
V in Å³ per cell: 177.8

Here is a geometry-optimized Zn2InHg structure from the Alexandria database. Energies are from PBEsol.

Geometry as CIF:
```
data_Zn2InHg
_chemical_formula_sum 'Zn6 In3 Hg3'
_cell_length_a 3.2363
_cell_length_b 3.2363
_cell_length_c 25.6046
_cell_angle_alpha 90.00
_cell_angle_beta 90.00
_cell_angle_gamma 120.00
_symmetry_space_group_name_H-M 'R 3 m'
_symmetry_Int_Tables_number 160
_symmetry_space_group_name_Hall 'R 3 -2"'
loop_
_atom_site_label
_atom_site_type_symbol
_atom_site_fract_x
_atom_site_fract_y
_atom_site_fract_z
Zn1 Zn 0.0000 0.0000 0.0000
Zn2 Zn 0.0000 0.0000 0.2635
In1 In 0.0000 0.0000 0.7525
Hg1 Hg 0.0000 0.0000 0.5156
```

Magnetic moment in μB/cell: 0.00
Polymorph energy (0 for the lowest one) in meV/atom: 16
Calculated formation energy in eV/atom: 0.0833
V in Å³ per cell: 232.2

Here is a geometry-optimized Zn2InHg2 structure from the Alexandria database. Energies are from PBEsol.

Geometry as CIF:
```
data_Zn2InHg2
_chemical_formula_sum 'Zn4 In2 Hg4'
_cell_length_a 3.944
_cell_length_b 3.944
_cell_length_c 13.246
_cell_angle_alpha 90.00
_cell_angle_beta 90.00
_cell_angle_gamma 90.00
_symmetry_space_group_name_H-M 'I 4/m m m'
_symmetry_Int_Tables_number 139
_symmetry_space_group_name_Hall '-I 4 2'
loop_
_atom_site_label
_atom_site_type_symbol
_atom_site_fract_x
_atom_site_fract_y
_atom_site_fract_z
Zn1 Zn 0.000 0.500 0.250
In1 In 0.000 0.000 0.000
Hg1 Hg 0.000 0.000 0.392
```

Magnetic moment in μB/cell: 0.00
Calculated formation energy in eV/atom: 0.0766
V in Å³ per cell: 206.0

Here is a geometry-optimized Zn2InHg structure from the Alexandria database. Energies are from PBEsol.

Geometry as CIF:
```
data_Zn2InHg
_chemical_formula_sum 'Zn2 In1 Hg1'
_cell_length_a 3.717
_cell_length_b 4.218
_cell_length_c 5.243
_cell_angle_alpha 90.00
_cell_angle_beta 109.37
_cell_angle_gamma 90.00
_symmetry_space_group_name_H-M 'P 1 m 1'
_symmetry_Int_Tables_number 6
loop_
_symmetry_equiv_pos_as_xyz
'x,y,z'
'x,-y,z'
loop_
_atom_site_label
_atom_site_type_symbol
_atom_site_fract_x
_atom_site_fract_y
_atom_site_fract_z
Zn1 Zn 0.000 0.000 0.000
Zn2 Zn 0.135 0.500 0.297
In1 In 0.426 0.500 0.844
Hg1 Hg 0.709 0.000 0.448
```

Magnetic moment in μB/cell: 0.00
Polymorph energy (0 for the lowest one) in meV/atom: 0
Calculated formation energy in eV/atom: 0.0677
V in Å³ per cell: 77.5

Here is a geometry-optimized ZnIn2Hg structure from the Alexandria database. Energies are from PBEsol.

Geometry as CIF:
```
data_ZnIn2Hg
_chemical_formula_sum 'Zn1 In2 Hg1'
_cell_length_a 3.259
_cell_length_b 3.259
_cell_length_c 8.198
_cell_angle_alpha 90.00
_cell_angle_beta 90.00
_cell_angle_gamma 90.00
_symmetry_space_group_name_H-M 'P 4/m m m'
_symmetry_Int_Tables_number 123
_symmetry_space_group_name_Hall '-P 4 2'
loop_
_atom_site_label
_atom_site_type_symbol
_atom_site_fract_x
_atom_site_fract_y
_atom_site_fract_z
Zn1 Zn 0.000 0.000 0.000
In1 In 0.500 0.500 0.228
Hg1 Hg 0.000 0.000 0.500
```

Magnetic moment in μB/cell: 0.00
Polymorph energy (0 for the lowest one) in meV/atom: 14
Calculated formation energy in eV/atom: 0.0586
V in Å³ per cell: 87.1

Here is a geometry-optimized ZnInHg2 structure from the Alexandria database. Energies are from PBEsol.

Geometry as CIF:
```
data_ZnInHg2
_chemical_formula_sum 'Zn1 In1 Hg2'
_cell_length_a 3.135
_cell_length_b 4.203
_cell_length_c 6.480
_cell_angle_alpha 90.00
_cell_angle_beta 90.00
_cell_angle_gamma 90.00
_symmetry_space_group_name_H-M 'P m m 2'
_symmetry_Int_Tables_number 25
loop_
_symmetry_equiv_pos_as_xyz
'x,y,z'
'-x,-y,z'
'-x,y,z'
'x,-y,z'
loop_
_atom_site_label
_atom_site_type_symbol
_atom_site_fract_x
_atom_site_fract_y
_atom_site_fract_z
Zn1 Zn 0.000 0.000 0.000
In1 In 0.500 0.500 0.745
Hg1 Hg 0.000 0.000 0.480
Hg2 Hg 0.500 0.500 0.211
```

Magnetic moment in μB/cell: 0.00
Calculated formation energy in eV/atom: 0.0718
V in Å³ per cell: 85.4

Here is a geometry-optimized Zn2InHg structure from the Alexandria database. Energies are from PBEsol.

Geometry as CIF:
```
data_Zn2InHg
_chemical_formula_sum 'Zn2 In1 Hg1'
_cell_length_a 3.066
_cell_length_b 3.066
_cell_length_c 8.112
_cell_angle_alpha 90.00
_cell_angle_beta 90.00
_cell_angle_gamma 90.00
_symmetry_space_group_name_H-M 'P 4/m m m'
_symmetry_Int_Tables_number 123
_symmetry_space_group_name_Hall '-P 4 2'
loop_
_atom_site_label
_atom_site_type_symbol
_atom_site_fract_x
_atom_site_fract_y
_atom_site_fract_z
Zn1 Zn 0.000 0.000 0.241
In1 In 0.500 0.500 0.500
Hg1 Hg 0.500 0.500 0.000
```

Magnetic moment in μB/cell: 0.00
Polymorph energy (0 for the lowest one) in meV/atom: 49
Calculated formation energy in eV/atom: 0.1163
V in Å³ per cell: 76.2

Here is a geometry-optimized ZnInHg2 structure from the Alexandria database. Energies are from PBEsol.

Geometry as CIF:
```
data_ZnInHg2
_chemical_formula_sum 'Zn3 In3 Hg6'
_cell_length_a 3.3666
_cell_length_b 3.3666
_cell_length_c 26.0986
_cell_angle_alpha 90.00
_cell_angle_beta 90.00
_cell_angle_gamma 120.00
_symmetry_space_group_name_H-M 'R -3 m'
_symmetry_Int_Tables_number 166
_symmetry_space_group_name_Hall '-R 3 2"'
loop_
_atom_site_label
_atom_site_type_symbol
_atom_site_fract_x
_atom_site_fract_y
_atom_site_fract_z
Zn1 Zn 0.0000 0.0000 0.0000
In1 In 0.0000 0.0000 0.5000
Hg1 Hg 0.0000 0.0000 0.2581
```

Magnetic moment in μB/cell: 0.00
Calculated formation energy in eV/atom: 0.0229
V in Å³ per cell: 256.2

Here is a geometry-optimized Zr2InHg structure from the Alexandria database. Energies are from PBEsol.

Geometry as CIF:
```
data_Zr2InHg
_chemical_formula_sum 'Zr2 In1 Hg1'
_cell_length_a 3.156
_cell_length_b 5.085
_cell_length_c 5.210
_cell_angle_alpha 90.00
_cell_angle_beta 90.74
_cell_angle_gamma 90.00
_symmetry_space_group_name_H-M 'P 1 m 1'
_symmetry_Int_Tables_number 6
loop_
_symmetry_equiv_pos_as_xyz
'x,y,z'
'x,-y,z'
loop_
_atom_site_label
_atom_site_type_symbol
_atom_site_fract_x
_atom_site_fract_y
_atom_site_fract_z
Zr1 Zr 0.000 0.000 0.000
Zr2 Zr 0.032 0.500 0.620
In1 In 0.513 0.000 0.503
Hg1 Hg 0.522 0.500 0.121
```

Magnetic moment in μB/cell: 0.00
Calculated formation energy in eV/atom: -0.2795
V in Å³ per cell: 83.6

Here is a geometry-optimized Zr2InHg structure from the Alexandria database. Energies are from PBEsol.

Geometry as CIF:
```
data_Zr2InHg
_chemical_formula_sum 'Zr2 In1 Hg1'
_cell_length_a 3.110
_cell_length_b 3.110
_cell_length_c 8.586
_cell_angle_alpha 90.00
_cell_angle_beta 90.00
_cell_angle_gamma 90.00
_symmetry_space_group_name_H-M 'P 4/m m m'
_symmetry_Int_Tables_number 123
_symmetry_space_group_name_Hall '-P 4 2'
loop_
_atom_site_label
_atom_site_type_symbol
_atom_site_fract_x
_atom_site_fract_y
_atom_site_fract_z
Zr1 Zr 0.000 0.000 0.248
In1 In 0.500 0.500 0.500
Hg1 Hg 0.500 0.500 0.000
```

Magnetic moment in μB/cell: 0.00
Calculated formation energy in eV/atom: -0.3565
V in Å³ per cell: 83.0

Here is a geometry-optimized ZrInHg2 structure from the Alexandria database. Energies are from PBEsol.

Geometry as CIF:
```
data_ZrInHg2
_chemical_formula_sum 'Zr1 In1 Hg2'
_cell_length_a 3.219
_cell_length_b 4.236
_cell_length_c 6.305
_cell_angle_alpha 90.00
_cell_angle_beta 90.00
_cell_angle_gamma 90.00
_symmetry_space_group_name_H-M 'P m m 2'
_symmetry_Int_Tables_number 25
loop_
_symmetry_equiv_pos_as_xyz
'x,y,z'
'-x,-y,z'
'-x,y,z'
'x,-y,z'
loop_
_atom_site_label
_atom_site_type_symbol
_atom_site_fract_x
_atom_site_fract_y
_atom_site_fract_z
Zr1 Zr 0.000 0.000 0.000
In1 In 0.500 0.500 0.753
Hg1 Hg 0.000 0.000 0.498
Hg2 Hg 0.500 0.500 0.243
```

Magnetic moment in μB/cell: 0.00
Calculated formation energy in eV/atom: -0.0977
V in Å³ per cell: 86.0

Here is a geometry-optimized ZrInHg2 structure from the Alexandria database. Energies are from PBEsol.

Geometry as CIF:
```
data_ZrInHg2
_chemical_formula_sum 'Zr2 In2 Hg4'
_cell_length_a 6.105
_cell_length_b 8.378
_cell_length_c 3.382
_cell_angle_alpha 90.00
_cell_angle_beta 90.00
_cell_angle_gamma 90.00
_symmetry_space_group_name_H-M 'C m m m'
_symmetry_Int_Tables_number 65
_symmetry_space_group_name_Hall '-C 2 2'
loop_
_atom_site_label
_atom_site_type_symbol
_atom_site_fract_x
_atom_site_fract_y
_atom_site_fract_z
Zr1 Zr 0.000 0.000 0.000
In1 In 0.000 0.500 0.000
Hg1 Hg 0.250 0.250 0.500
```

Magnetic moment in μB/cell: 0.00
Calculated formation energy in eV/atom: -0.1528
V in Å³ per cell: 173.0